Record 1
ScRuCl2: relaxed, PBE.

CIF file:
```
data_ScRuCl2
_chemical_formula_sum 'Sc1 Ru1 Cl2'
_symmetry_space_group_name_H-M 'P 4 m m'
_symmetry_Int_Tables_number 99
_cell_length_a 3.4999
_cell_length_b 3.4999
_cell_length_c 6.9626
_cell_angle_alpha 90.00
_cell_angle_beta 90.00
_cell_angle_gamma 90.00
loop_
_symmetry_equiv_pos_as_xyz
'x,y,z'
'-y,x,z'
'-x,-y,z'
'y,-x,z'
'-x,y,z'
'y,x,z'
'x,-y,z'
'-y,-x,z'
loop_
_atom_site_label
_atom_site_type_symbol
_atom_site_fract_x
_atom_site_fract_y
_atom_site_fract_z
Sc1 Sc 0.0000 0.0000 0.0000
Ru1 Ru 0.5000 0.5000 0.8475
Cl1 Cl 0.0000 0.0000 0.6284
Cl2 Cl 0.5000 0.5000 0.1944
```

Results
polymorph energy (0 for the lowest one): 0.156 eV per atom
formation energy without anion corrections: -0.641 eV per atom

***

Record 2
ScRuCl2: relaxed, PBE.

CIF file:
```
data_ScRuCl2
_chemical_formula_sum 'Sc3 Ru3 Cl6'
_symmetry_space_group_name_H-M 'R -3 m'
_symmetry_Int_Tables_number 166
_symmetry_space_group_name_Hall '-R 3 2"'
_cell_length_a 3.6310
_cell_length_b 3.6310
_cell_length_c 22.6383
_cell_angle_alpha 90.00
_cell_angle_beta 90.00
_cell_angle_gamma 120.00
loop_
_atom_site_label
_atom_site_type_symbol
_atom_site_fract_x
_atom_site_fract_y
_atom_site_fract_z
Sc1 Sc 0.0000 0.0000 0.0000
Ru1 Ru 0.0000 0.0000 0.5000
Cl1 Cl 0.0000 0.0000 0.1116
```

Results
polymorph energy (0 for the lowest one): 0.807 eV per atom
formation energy without anion corrections: 0.011 eV per atom

***

Record 3
ScRu2Cl: relaxed, PBE.

CIF file:
```
data_ScRu2Cl
_chemical_formula_sum 'Sc2 Ru4 Cl2'
_symmetry_space_group_name_H-M 'I -4 m 2'
_symmetry_Int_Tables_number 119
_symmetry_space_group_name_Hall 'I -4 -2'
_cell_length_a 3.7935
_cell_length_b 3.7935
_cell_length_c 8.7223
_cell_angle_alpha 90.00
_cell_angle_beta 90.00
_cell_angle_gamma 90.00
loop_
_atom_site_label
_atom_site_type_symbol
_atom_site_fract_x
_atom_site_fract_y
_atom_site_fract_z
Sc1 Sc 0.0000 0.0000 0.0000
Ru1 Ru 0.0000 0.0000 0.5000
Ru2 Ru 0.0000 0.5000 0.2500
Cl1 Cl 0.0000 0.5000 0.7500
```

Results
polymorph energy (0 for the lowest one): 0.540 eV per atom
formation energy without anion corrections: 0.312 eV per atom

***

Record 4
ScRuCl2: relaxed, PBE.

CIF file:
```
data_ScRuCl2
_chemical_formula_sum 'Sc4 Ru4 Cl8'
_symmetry_space_group_name_H-M 'I -4 2 d'
_symmetry_Int_Tables_number 122
_symmetry_space_group_name_Hall 'I -4 2bw'
_cell_length_a 4.3522
_cell_length_b 4.3522
_cell_length_c 15.8495
_cell_angle_alpha 90.00
_cell_angle_beta 90.00
_cell_angle_gamma 90.00
loop_
_atom_site_label
_atom_site_type_symbol
_atom_site_fract_x
_atom_site_fract_y
_atom_site_fract_z
Sc1 Sc 0.0000 0.0000 0.0000
Ru1 Ru 0.0000 0.0000 0.5000
Cl1 Cl 0.2376 0.2500 0.6250
```

Results
polymorph energy (0 for the lowest one): 0.336 eV per atom
formation energy without anion corrections: -0.460 eV per atom

***

Record 5
ScRuCl2: relaxed, PBE.

CIF file:
```
data_ScRuCl2
_chemical_formula_sum 'Sc4 Ru4 Cl8'
_symmetry_space_group_name_H-M 'F -4 3 m'
_symmetry_Int_Tables_number 216
_symmetry_space_group_name_Hall 'F -4 2 3'
_cell_length_a 6.5768
_cell_length_b 6.5768
_cell_length_c 6.5768
_cell_angle_alpha 90.00
_cell_angle_beta 90.00
_cell_angle_gamma 90.00
loop_
_atom_site_label
_atom_site_type_symbol
_atom_site_fract_x
_atom_site_fract_y
_atom_site_fract_z
Sc1 Sc 0.0000 0.0000 0.0000
Ru1 Ru 0.2500 0.2500 0.7500
Cl1 Cl 0.0000 0.0000 0.5000
Cl2 Cl 0.2500 0.2500 0.2500
```

Results
polymorph energy (0 for the lowest one): 0.771 eV per atom
formation energy without anion corrections: -0.026 eV per atom

***

Record 6
ScRu2Cl: relaxed, PBE.

CIF file:
```
data_ScRu2Cl
_chemical_formula_sum 'Sc2 Ru4 Cl2'
_symmetry_space_group_name_H-M 'C 1 2/m 1'
_symmetry_Int_Tables_number 12
_cell_length_a 10.3707
_cell_length_b 2.9855
_cell_length_c 4.2493
_cell_angle_alpha 90.00
_cell_angle_beta 93.70
_cell_angle_gamma 90.00
loop_
_symmetry_equiv_pos_as_xyz
'x,y,z'
'-x,-y,-z'
'-x,y,-z'
'x,-y,z'
'x+1/2,y+1/2,z'
'-x+1/2,-y+1/2,-z'
'-x+1/2,y+1/2,-z'
'x+1/2,-y+1/2,z'
loop_
_atom_site_label
_atom_site_type_symbol
_atom_site_fract_x
_atom_site_fract_y
_atom_site_fract_z
Sc1 Sc 0.0000 0.0000 0.0000
Ru1 Ru 0.2131 0.5000 0.2238
Cl1 Cl 0.0000 0.5000 0.5000
```

Results
polymorph energy (0 for the lowest one): 0.082 eV per atom
formation energy without anion corrections: -0.146 eV per atom